A plane-wave DFT calculation with PBEsol was carried out for CoTc2Pt after structural relaxation.

Summary:
* DFT formation energy: -0.02 eV/atom
* energy above the lowest structure with this stoichiometry: 13.0 meV/atom

a = 2.6241 Å, b = 4.5752 Å, c = 4.6701 Å
α = 98.80°, β = 90.00°, γ = 106.66°
With the nearest neighbours (Å) after each atom.
Atoms (fractional coordinates):
Co  0.5052  0.0103  0.5144  7 Tc 2.55-2.78, 2 Co 2.62, 3 Pt 2.63-2.70
Pt  0.7505  0.5010  0.2557  2 Pt 2.62, 7 Tc 2.63-2.73, 3 Co 2.63-2.70
Tc  0.0006  0.0012  0.9884  4 Co 2.58-2.78, 5 Tc 2.58-2.70, 3 Pt 2.68-2.69
Tc  0.2437  0.4875  0.7415  3 Co 2.55-2.67, 5 Tc 2.58-2.70, 4 Pt 2.63-2.73

A plane-wave DFT calculation with PBEsol was carried out for SrLaBe2Se after structural relaxation.

Summary:
* formation energy from raw total energies: 0.434 eV/atom

a = 5.1484 Å, b = 5.1484 Å, c = 5.6188 Å
α = 90.00°, β = 90.00°, γ = 90.00°
With the nearest neighbours (Å) after each atom.
Atoms (fractional coordinates):
Sr  0.5000  0.5000  0.5000  4 Se 3.64, 8 Be 3.81
Be  0.0000  0.5000  0.0000  2 La 2.57
Be  0.5000  0.0000  0.0000  2 La 2.57
Se  0.0000  0.0000  0.5000  2 La 2.81
La  0.0000  0.0000  0.0000  4 Be 2.57, 2 Se 2.81

A plane-wave DFT calculation with PBEsol was carried out for FeMo after structural relaxation.

Summary:
* DFT formation energy: 0.11 eV/atom

a = 2.5984 Å, b = 2.5984 Å, c = 8.2054 Å
α = 90.00°, β = 90.00°, γ = 107.05°
With the nearest neighbours (Å) after each atom.
Atoms (fractional coordinates):
Mo  0.2500  0.7500  0.6385  2 Fe 2.56, 6 Mo 2.60-2.75
Mo  0.7500  0.2500  0.3615  2 Fe 2.56, 6 Mo 2.60-2.75
Fe  0.2500  0.7500  0.1125  6 Fe 2.41-2.60, 2 Mo 2.56
Fe  0.7500  0.2500  0.8875  6 Fe 2.41-2.60, 2 Mo 2.56

Question: Which formula does entry 3 have?
Answer: FeMo